Below is a relaxed Sc5SiSb2 crystal, with properties calculated at the PBE-GGA level.

## Properties
symmetry = No. 63
raw total energy = -5.987 eV/atom
uncorrected formation energy = -0.321 eV/atom

Cell: 5.315 7.536 12.644 Å, 90.00 90.00 110.65°
Last column: magnetic moment on the atom in μB.
Fractional positions:
Sc 0.928 0.855 0.884  0.10
Sc 0.928 0.855 0.616  0.10
Sc 0.300 0.600 0.444  0.08
Sc 0.300 0.600 0.056  0.08
Sc 0.712 0.423 0.250  0.12
Sc 0.288 0.577 0.750  0.12
Sc 0.700 0.400 0.556  0.08
Sc 0.700 0.400 0.944  0.08
Sc 0.072 0.145 0.116  0.10
Sc 0.072 0.145 0.384  0.10
Si 0.790 0.580 0.750  0.00
Si 0.210 0.420 0.250  0.00
Sb 0.867 0.735 0.403  0.00
Sb 0.867 0.735 0.097  0.00
Sb 0.133 0.265 0.597  0.00
Sb 0.133 0.265 0.903  0.00